Material: Sm4USb5
Method: DFT, PBE-GGA
State: relaxed

Calculated values
* ΔE_f (raw): -0.97 eV/atom

Geometry as POSCAR:
```
Sm4USb5
1.0
-4.892 -3.447 1.953
0.334 -2.012 7.431
-5.891 4.156 2.723
Sb Sm U
5 4 1
Direct
0.903 0.393 0.803
0.706 0.197 0.393
0.501 0.000 0.000
0.099 0.607 0.197
0.296 0.803 0.607
0.802 0.797 0.601
0.200 0.203 0.399
0.599 0.601 0.203
0.403 0.399 0.797
0.001 0.000 0.000
```